Here is a geometry-optimized Ba12Cd3P5 structure from Alexandria. Energies are from PBE.

symmetry = Ia-3d
DFT formation energy = -0.514 eV/atom

Geometry as extended XYZ:
```
80
Lattice="-9.927 9.927 9.927 9.927 -9.927 9.927 9.927 9.927 -9.927" Properties=species:S:1:pos:R:3 pbc="T T T"
Ba 2.946 -0.560 1.156
Ba 11.944 6.120 -5.524
Ba 12.872 0.560 1.156
Ba 11.944 -3.807 5.524
Ba 9.366 -1.156 2.946
Ba 15.450 -2.018 3.807
Ba 1.156 2.946 -0.560
Ba 13.734 4.403 -2.018
Ba 6.120 5.524 -2.018
Ba 8.770 2.946 0.560
Ba -0.560 1.156 2.946
Ba 5.524 -2.018 6.120
Ba 9.366 8.770 -2.946
Ba 5.524 2.018 3.807
Ba 6.120 -5.524 11.944
Ba 8.770 -2.946 9.366
Ba 3.807 5.524 2.018
Ba 11.083 6.981 0.560
Ba 5.524 11.944 -3.807
Ba 9.366 1.156 6.981
Ba 2.946 9.366 -1.156
Ba 11.944 3.807 4.403
Ba 2.018 3.807 5.524
Ba 2.946 0.560 8.770
Ba 6.981 9.366 1.156
Ba 7.909 6.120 4.403
Ba -2.018 6.120 5.524
Ba 6.981 0.560 11.083
Ba 0.560 8.770 2.946
Ba 4.403 -2.018 13.734
Ba -1.156 2.946 9.366
Ba 6.120 4.403 7.909
Ba 1.156 12.872 0.560
Ba 3.807 15.450 -2.018
Ba 4.403 7.909 6.120
Ba 0.560 1.156 12.872
Ba 4.403 11.944 3.807
Ba 10.487 8.770 6.981
Ba 1.156 6.981 9.366
Ba 3.807 4.403 11.944
Ba -3.807 5.524 11.944
Ba 8.770 6.981 10.487
Ba -5.524 11.944 6.120
Ba 0.560 11.083 6.981
Ba -2.018 13.734 4.403
Ba -2.946 9.366 8.770
Ba -2.018 3.807 15.450
Ba 6.981 10.487 8.770
Cd 4.963 2.482 0.000
Cd 9.927 4.963 -2.482
Cd 2.482 0.000 4.963
Cd 12.408 0.000 4.963
Cd 0.000 4.963 2.482
Cd 4.963 -2.482 9.927
Cd 4.963 12.408 0.000
Cd 9.927 4.963 7.445
Cd -2.482 9.927 4.963
Cd 7.445 9.927 4.963
Cd 0.000 4.963 12.408
Cd 4.963 7.445 9.927
P 0.000 0.000 0.000
P 4.963 4.963 -4.963
P 4.963 -4.963 4.963
P 9.927 0.000 0.000
P 14.890 2.482 0.000
P 9.927 -4.963 7.445
P 7.445 9.927 -4.963
P 7.445 0.000 4.963
P 4.963 7.445 0.000
P 9.927 4.963 2.482
P -4.963 4.963 4.963
P 0.000 9.927 0.000
P 0.000 0.000 9.927
P 4.963 4.963 4.963
P 0.000 4.963 7.445
P 4.963 2.482 9.927
P 2.482 9.927 4.963
P 2.482 0.000 14.890
P 0.000 14.890 2.482
P -4.963 7.445 9.927
```

=====

Here is a geometry-optimized Zn4Cu7Ag structure from Alexandria. Energies are from PBE.

symmetry = P-1
DFT formation energy = -0.024 eV/atom

Geometry as extended XYZ:
```
12
Lattice="4.621 0.000 0.000 0.018 5.244 0.000 1.574 0.167 6.554" Properties=species:S:1:pos:R:3 pbc="T T T"
Zn 1.514 1.325 2.192
Zn 2.379 2.717 4.447
Zn 3.834 2.693 2.107
Zn 4.699 4.085 4.362
Cu 0.025 3.908 0.013
Cu 1.539 3.940 2.222
Cu 2.321 0.115 4.349
Cu 2.319 2.622 0.000
Cu 3.892 5.296 2.206
Cu 4.674 1.471 4.333
Cu 6.188 1.502 6.542
Ag 2.310 0.000 0.000
```

=====

Here is a geometry-optimized RbGaPb structure from Alexandria. Energies are from PBE.

symmetry = P6_3/mmc
DFT formation energy = 0.303 eV/atom

Geometry as extended XYZ:
```
6
Lattice="6.311 0.000 0.000 -3.155 5.465 0.000 0.000 0.000 10.633" Properties=species:S:1:pos:R:3 pbc="T T T"
Rb 0.000 3.643 2.658
Rb 3.155 1.822 7.975
Ga 0.000 0.000 2.658
Ga 0.000 0.000 7.975
Pb 0.000 0.000 0.000
Pb 0.000 0.000 5.317
```

=====

Here is a geometry-optimized ReMo2Au2 structure from Alexandria. Energies are from PBE.

symmetry = P4/mbm
offset from the most stable computed form = 0.0 meV/atom
DFT formation energy = 0.707 eV/atom

Geometry as extended XYZ:
```
10
Lattice="6.505 0.000 0.000 0.000 6.505 0.000 0.000 0.000 4.210" Properties=species:S:1:pos:R:3 pbc="T T T"
Re 0.000 0.000 0.000
Re 3.252 3.252 0.000
Mo 0.891 2.361 0.000
Mo 2.361 5.613 0.000
Mo 4.143 0.891 0.000
Mo 5.613 4.143 0.000
Au 1.050 4.302 2.105
Au 2.202 1.050 2.105
Au 4.302 5.454 2.105
Au 5.454 2.202 2.105
```

=====

Number 1: D(E_F) 20.0 states/eV/f.u.. Number 2: D(E_F) 3.5 states/eV/f.u.. Number 3: D(E_F) 1.9 states/eV/f.u.. Number 4: D(E_F) 3.6 states/eV/f.u..